An optimized crystal structure of EuLu3B. Source: the Alexandria database, functional GGA-PBE.

Lattice parameters (Å, degrees): 5.111 5.111 5.111 90.00 90.00 90.00
Site moments in Bohr magnetons follow the coordinates.
Fractional positions:
Lu: 0.000 0.000 0.500  -0.08
Lu: 0.500 0.000 0.000  -0.08
Lu: 0.000 0.500 0.000  -0.08
B: 0.000 0.000 0.000  0.01
Eu: 0.500 0.500 0.500  -6.87

**Space-group type**: Pm-3m
**Mass density**: 8553 kg/m3
**ΔH_f (0 K)**: 0.20 eV per formula unit

=====

An optimized crystal structure of SmEr14Sc. Source: the Alexandria database, functional GGA-PBE.

Lattice parameters (Å, degrees): 6.829 6.829 10.949 90.00 90.00 107.00
Fractional positions:
Er: 0.344 0.656 0.231
Er: 0.344 0.656 0.769
Er: 0.836 0.585 0.748
Er: 0.041 0.368 0.000
Er: 0.632 0.959 0.000
Er: 0.906 0.094 0.732
Er: 0.109 0.891 0.000
Er: 0.616 0.792 0.500
Er: 0.557 0.443 0.000
Er: 0.208 0.384 0.500
Er: 0.836 0.585 0.252
Er: 0.906 0.094 0.268
Er: 0.415 0.164 0.252
Er: 0.415 0.164 0.748
Sc: 0.138 0.862 0.500
Sm: 0.697 0.303 0.500

**Space-group type**: Amm2
**Mass density**: 8628 kg/m3
**ΔH_f (0 K)**: 1.15 eV per formula unit

=====

An optimized crystal structure of ErTmInIr. Source: the Alexandria database, functional GGA-PBE.

Lattice parameters (Å, degrees): 3.334 3.334 8.302 90.00 90.00 90.00
Fractional positions:
Ir: 0.000 0.000 0.573
Tm: 0.500 0.500 0.777
In: 0.000 0.000 0.070
Er: 0.500 0.500 0.364

**Relative energy among the computed polymorphs**: 0 meV per atom
**Space-group type**: P4mm
**Mass density**: 11577 kg/m3
**ΔH_f (0 K)**: -2.80 eV per formula unit

=====

An optimized crystal structure of TlTcNi2. Source: the Alexandria database, functional GGA-PBE.

Lattice parameters (Å, degrees): 4.129 2.774 5.316 74.76 90.00 90.00
Site moments in Bohr magnetons follow the coordinates.
Fractional positions:
Ni: 0.000 0.185 0.005  0.05
Ni: 0.500 0.052 0.273  0.13
Tl: 0.500 0.794 0.786  0.00
Tc: 0.000 0.468 0.436  0.25

**Relative energy among the computed polymorphs**: 53 meV per atom
**Space-group type**: Pm
**Mass density**: 11863 kg/m3
**ΔH_f (0 K)**: 1.61 eV per formula unit

=====

An optimized crystal structure of Ca2OsBr. Source: the Alexandria database, functional GGA-PBE.

Lattice parameters (Å, degrees): 7.651 7.651 6.616 54.67 54.67 90.00
Site moments in Bohr magnetons follow the coordinates.
Fractional positions:
Ca: 0.375 0.359 0.750  -0.02
Ca: 0.875 0.891 0.750  -0.01
Ca: 0.641 0.125 0.250  -0.02
Ca: 0.109 0.625 0.250  -0.02
Os: 0.750 0.250 0.500  0.96
Os: 0.000 0.000 0.000  0.96
Br: 0.500 0.500 0.000  0.02
Br: 0.250 0.750 0.500  0.02

**Relative energy among the computed polymorphs**: 522 meV per atom
**Space-group type**: I-42d
**Energy relative to the elements, uncorrected**: 16.46 kJ per mole of atoms
**Mass density**: 5219 kg/m3

=====

An optimized crystal structure of GePb. Source: the Alexandria database, functional GGA-PBE.

Lattice parameters (Å, degrees): 11.814 12.637 9.527 90.00 90.00 90.00
Fractional positions:
Pb: 0.664 0.500 0.000
Pb: 0.086 0.750 0.250
Pb: 0.586 0.750 0.750
Pb: 0.836 0.500 0.500
Pb: 0.914 0.750 0.750
Pb: 0.164 0.500 0.500
Pb: 0.836 0.000 0.000
Pb: 0.664 0.000 0.500
Pb: 0.414 0.750 0.250
Pb: 0.914 0.250 0.250
Pb: 0.414 0.250 0.750
Pb: 0.086 0.250 0.750
Pb: 0.586 0.250 0.250
Pb: 0.336 0.500 0.000
Pb: 0.336 0.000 0.500
Pb: 0.164 0.000 0.000
Ge: 0.500 0.336 0.000
Ge: 0.250 0.586 0.250
Ge: 0.000 0.336 0.500
Ge: 0.750 0.914 0.750
Ge: 0.000 0.164 0.000
Ge: 0.750 0.586 0.750
Ge: 0.500 0.836 0.500
Ge: 0.750 0.086 0.250
Ge: 0.750 0.414 0.250
Ge: 0.000 0.836 0.000
Ge: 0.000 0.664 0.500
Ge: 0.500 0.664 0.000
Ge: 0.250 0.414 0.750
Ge: 0.250 0.914 0.250
Ge: 0.250 0.086 0.750
Ge: 0.500 0.164 0.500

**Space-group type**: Fddd
**Mass density**: 5227 kg/m3
**ΔH_f (0 K)**: 0.90 eV per formula unit

=====

An optimized crystal structure of Al3SeS. Source: the Alexandria database, functional GGA-PBE.

Lattice parameters (Å, degrees): 5.052 5.052 5.052 90.00 90.00 90.00
Fractional positions:
Se: 0.000 0.000 0.000
Al: 0.000 0.500 0.000
Al: 0.000 0.000 0.500
Al: 0.500 0.000 0.000
S: 0.500 0.500 0.500

**Relative energy among the computed polymorphs**: 300 meV per atom
**Space-group type**: Pm-3m
**Energy relative to the elements, uncorrected**: 61.76 kJ per mole of atoms
**Mass density**: 2472 kg/m3

=====

An optimized crystal structure of PrSmAg2. Source: the Alexandria database, functional GGA-PBE.

Lattice parameters (Å, degrees): 3.739 3.739 7.527 90.00 90.00 90.00
Fractional positions:
Pr: 0.500 0.500 0.500
Ag: 0.000 0.000 0.238
Ag: 0.000 0.000 0.762
Sm: 0.500 0.500 0.000

**Space-group type**: P4/mmm
**Mass density**: 8002 kg/m3
**ΔH_f (0 K)**: -1.06 eV per formula unit

=====

An optimized crystal structure of CuNiPd6. Source: the Alexandria database, functional GGA-PBE.

Lattice parameters (Å, degrees): 3.869 4.762 7.250 77.21 74.53 66.03
Site moments in Bohr magnetons follow the coordinates.
Fractional positions:
Cu: 0.000 0.500 0.500  0.04
Pd: 0.499 0.753 0.248  0.25
Pd: 0.751 0.624 0.875  0.27
Pd: 0.250 0.874 0.625  0.23
Pd: 0.750 0.126 0.375  0.23
Pd: 0.249 0.376 0.125  0.27
Pd: 0.501 0.247 0.752  0.25
Ni: 0.000 0.000 0.000  0.94

**Relative energy among the computed polymorphs**: 6 meV per atom
**Space-group type**: C2/m
**Mass density**: 10830 kg/m3
**ΔH_f (0 K)**: -0.05 eV per formula unit

=====

An optimized crystal structure of Co2HgTeRh. Source: the Alexandria database, functional GGA-PBE.

Lattice parameters (Å, degrees): 4.578 5.458 4.578 90.00 90.00 90.00
Site moments in Bohr magnetons follow the coordinates.
Fractional positions:
Co: 0.500 0.000 0.000  1.50
Co: 0.000 0.000 0.500  1.34
Te: 0.000 0.000 0.000  0.01
Hg: 0.000 0.500 0.000  -0.01
Rh: 0.500 0.500 0.500  0.68

**Space-group type**: P4/mmm
**Energy relative to the elements, uncorrected**: 130.51 kJ per mole of atoms
**Mass density**: 7967 kg/m3

=====

An optimized crystal structure of NpCd2Ag2O6. Source: the Alexandria database, functional GGA-PBE.

Lattice parameters (Å, degrees): 5.793 5.793 5.908 105.65 105.65 108.26
Site moments in Bohr magnetons follow the coordinates.
Fractional positions:
O: 0.956 0.640 0.238  -0.04
O: 0.640 0.956 0.238  -0.04
O: 0.820 0.820 0.705  -0.04
O: 0.044 0.360 0.762  -0.04
O: 0.180 0.180 0.295  -0.04
O: 0.360 0.044 0.762  -0.04
Np: 0.000 0.000 0.500  1.28
Ag: 0.648 0.352 0.500  -0.01
Ag: 0.352 0.648 0.500  -0.01
Cd: 0.801 0.199 0.000  0.00
Cd: 0.199 0.801 0.000  0.00

**Space-group type**: C2/m
**Energy relative to the elements, uncorrected**: -128.16 kJ per mole of atoms
**Mass density**: 7684 kg/m3